[1]
Material: NbH2Se
Method: DFT, PBE
State: relaxed

```
data_NbH2Se
_space_group_name_H-M_alt 'I 41/a m d'
_space_group_IT_number 141
_cell_length_a 3.752
_cell_length_b 3.752
_cell_length_c 13.716
_cell_angle_alpha 90.00
_cell_angle_beta 90.00
_cell_angle_gamma 90.00
loop_
_space_group_symop_operation_xyz
'x,y,z'
'-x,-y,-z'
'-y+1/4,x+3/4,z+1/4'
'y+1/4,-x+3/4,-z+1/4'
'-x+1/2,-y,z+1/2'
'x+1/2,y,-z+1/2'
'y+1/4,-x+1/4,z+3/4'
'-y+1/4,x+1/4,-z+3/4'
'x,-y,-z'
'-x,y,z'
'-y+1/4,-x+1/4,-z+3/4'
'y+1/4,x+1/4,z+3/4'
'-x+1/2,y,-z+1/2'
'x+1/2,-y,z+1/2'
'y+1/4,x+3/4,-z+1/4'
'-y+1/4,-x+3/4,z+1/4'
'x+1/2,y+1/2,z+1/2'
'-x+1/2,-y+1/2,-z+1/2'
'-y+3/4,x+1/4,z+3/4'
'y+3/4,-x+1/4,-z+3/4'
'-x,-y+1/2,z'
'x,y+1/2,-z'
'y+3/4,-x+3/4,z+1/4'
'-y+3/4,x+3/4,-z+1/4'
'x+1/2,-y+1/2,-z+1/2'
'-x+1/2,y+1/2,z+1/2'
'-y+3/4,-x+3/4,-z+1/4'
'y+3/4,x+3/4,z+1/4'
'-x,y+1/2,-z'
'x,-y+1/2,z'
'y+3/4,x+1/4,-z+3/4'
'-y+3/4,-x+1/4,z+3/4'
loop_
_atom_site_label
_atom_site_fract_x
_atom_site_fract_y
_atom_site_fract_z
Nb1 0.000 0.250 0.375
H1 0.000 0.000 0.500
Se1 0.000 0.250 0.875
```

## Properties
- N(E_F) (states/eV/f.u.) = 2.59
- relative energy among the computed polymorphs (eV/atom) = 0.421

[2]
Material: InPSe2
Method: DFT, PBE
State: relaxed

```
data_InPSe2
_space_group_name_H-M_alt 'F m -3 m'
_space_group_IT_number 225
_space_group_name_Hall '-F 4 2 3'
_cell_length_a 6.911
_cell_length_b 6.911
_cell_length_c 6.911
_cell_angle_alpha 90.00
_cell_angle_beta 90.00
_cell_angle_gamma 90.00
loop_
_atom_site_label
_atom_site_fract_x
_atom_site_fract_y
_atom_site_fract_z
In1 0.000 0.000 0.000
P1 0.000 0.000 0.500
Se1 0.250 0.250 0.250
```

## Properties
- N(E_F) (states/eV/f.u.) = 2.52
- energy relative to the elements, uncorrected (eV per formula unit) = 1.5
- relative energy among the computed polymorphs (eV/atom) = 0.458

Question: What is the formula in the second record?
Answer: InPSe2

Question: The lowest relative energy among the computed polymorphs belongs to which entry?
Answer: NbH2Se

Question: Which of these has the lowest relative energy among the computed polymorphs?
Answer: NbH2Se